# 1
First-principles (meta-GGA SCAN) data for YMgSeN2 at its PBEsol-relaxed geometry, as listed in Alexandria.

Cell lengths 4.047, 4.047, 4.919 Å; angles 90.00, 90.00, 90.00 degrees
Last column: magnetic moment on the atom in μB.
Fractional coordinates of all 5 atoms:
Y 0.500 0.500 0.500  -0.10
Mg 0.000 0.000 0.000  0.01
Se 0.000 0.000 0.500  0.20
N 0.000 0.500 0.000  1.05
N 0.500 0.000 0.000  1.05

Computed properties:
Its space-group type is P4/mmm (123). For the density of states at the Fermi level, the calculation gives 1.4 states/eV/f.u. Its electronic total energy is -71.49 eV/cell.

=====

# 2
First-principles (meta-GGA SCAN) data for BeNb3In at its PBEsol-relaxed geometry, as listed in Alexandria.

Cell lengths 4.949, 4.949, 4.949 Å; angles 90.00, 90.00, 90.00 degrees
Fractional coordinates of all 5 atoms:
Be 0.500 0.500 0.500
Nb 0.000 0.500 0.000
Nb 0.000 0.000 0.500
Nb 0.500 0.000 0.000
In 0.000 0.000 0.000

Computed properties:
Its space-group type is Pm-3m (221). For the density of states at the Fermi level, the calculation gives 3.9 states/eV/f.u. Its electronic total energy is -126.41 eV/cell.

=====

# 3
First-principles (meta-GGA SCAN) data for Cs2Bi2Br at its PBEsol-relaxed geometry, as listed in Alexandria.

Cell lengths 4.460, 4.460, 11.121 Å; angles 101.57, 101.57, 90.00 degrees
Fractional coordinates of all 5 atoms:
Cs 0.407 0.407 0.814
Cs 0.593 0.593 0.186
Bi 0.250 0.750 0.500
Bi 0.750 0.250 0.500
Br 0.000 0.000 0.000

Computed properties:
Its space-group type is I4/mmm (139). For the density of states at the Fermi level, the calculation gives 1.6 states/eV/f.u. Its electronic total energy is -256.99 eV/cell.

=====

# 4
First-principles (meta-GGA SCAN) data for AlAgCl2 at its PBEsol-relaxed geometry, as listed in Alexandria.

Cell lengths 4.815, 4.815, 4.815 Å; angles 60.00, 60.00, 60.00 degrees
Fractional coordinates of all 4 atoms:
Al 0.750 0.750 0.750
Ag 0.500 0.500 0.500
Cl 0.000 0.000 0.000
Cl 0.250 0.250 0.250

Computed properties:
Its space-group type is F-43m (216). The value obtained for the polymorph energy (0 for the lowest one) is 729.1 meV/atom.

=====

# 5
First-principles (meta-GGA SCAN) data for Li3V3B2O10 at its PBEsol-relaxed geometry, as listed in Alexandria.

Cell lengths 2.866, 9.178, 12.042 Å; angles 89.28, 90.00, 89.99 degrees
Last column: magnetic moment on the atom in μB.
Fractional coordinates of all 36 atoms:
Li 0.000 0.001 0.000  0.00
Li 0.001 0.019 0.723  0.00
Li 0.000 0.484 0.499  0.00
Li 0.500 0.500 0.000  0.00
Li 0.501 0.264 0.614  0.00
Li 0.999 0.999 0.279  0.00
V 0.500 0.002 0.501  1.17
V 0.500 0.769 0.893  1.21
V 0.500 0.741 0.390  1.56
V 0.000 0.491 0.217  1.84
V 0.000 0.500 0.780  0.00
V 0.500 0.231 0.106  1.18
B 0.500 0.769 0.144  0.02
B 0.500 0.730 0.632  0.01
B 0.500 0.269 0.371  0.01
B 0.500 0.226 0.855  0.01
O 0.000 0.884 0.854  -0.10
O 0.000 0.879 0.432  0.01
O 0.500 0.877 0.634  0.00
O 0.500 0.841 0.243  -0.01
O 0.500 0.841 0.044  0.02
O 0.500 0.650 0.538  0.00
O 0.500 0.655 0.738  -0.01
O 0.500 0.614 0.145  0.00
O 0.000 0.623 0.920  -0.02
O 0.000 0.614 0.342  -0.07
O 0.000 0.416 0.661  0.00
O 0.000 0.378 0.079  -0.03
O 0.500 0.385 0.855  0.00
O 0.500 0.343 0.261  0.00
O 0.500 0.350 0.460  -0.01
O 0.500 0.159 0.959  0.02
O 0.501 0.156 0.760  0.00
O 0.500 0.118 0.364  -0.01
O 0.000 0.105 0.559  -0.05
O 0.000 0.116 0.147  -0.10

Computed properties:
Its space-group type is Pm (6). For the density of states at the Fermi level, the calculation gives 3.0 states/eV/f.u. The value obtained for the polymorph energy (0 for the lowest one) is 19.3 meV/atom.

=====

# 6
First-principles (meta-GGA SCAN) data for LaAgOs2 at its PBEsol-relaxed geometry, as listed in Alexandria.

Cell lengths 2.813, 2.813, 9.581 Å; angles 90.00, 90.00, 115.16 degrees
Fractional coordinates of all 4 atoms:
Ag 0.500 0.500 0.500
La 0.500 0.500 0.000
Os 0.000 0.000 0.258
Os 0.000 0.000 0.742

Computed properties:
Its space-group type is Cmmm (65). For the density of states at the Fermi level, the calculation gives 3.2 states/eV/f.u. The value obtained for the polymorph energy (0 for the lowest one) is 846.3 meV/atom.

=====

# 7
First-principles (meta-GGA SCAN) data for LiCu2Sb2 at its PBEsol-relaxed geometry, as listed in Alexandria.

Cell lengths 4.711, 4.711, 5.727 Å; angles 114.28, 114.28, 90.00 degrees
Fractional coordinates of all 5 atoms:
Sb 0.250 0.750 0.500
Sb 0.750 0.250 0.500
Cu 0.372 0.372 0.744
Cu 0.628 0.628 0.256
Li 0.000 0.000 0.000

Computed properties:
Its space-group type is I4/mmm (139). For the density of states at the Fermi level, the calculation gives 1.7 states/eV/f.u. Its electronic total energy is -106.95 eV/cell.

=====

# 8
First-principles (meta-GGA SCAN) data for Y2OsAu at its PBEsol-relaxed geometry, as listed in Alexandria.

Cell lengths 3.392, 3.392, 7.175 Å; angles 90.00, 90.00, 90.00 degrees
Fractional coordinates of all 4 atoms:
Y 0.000 0.000 0.731
Y 0.000 0.000 0.269
Au 0.500 0.500 0.000
Os 0.500 0.500 0.500

Computed properties:
Its space-group type is P4/mmm (123). For the density of states at the Fermi level, the calculation gives 1.7 states/eV/f.u. Its electronic total energy is -199.64 eV/cell.

=====

# 9
First-principles (meta-GGA SCAN) data for LiLa2Zn at its PBEsol-relaxed geometry, as listed in Alexandria.

Cell lengths 3.417, 4.819, 6.407 Å; angles 90.00, 105.46, 90.00 degrees
Fractional coordinates of all 4 atoms:
Zn 0.691 0.500 0.381
La 0.087 0.000 0.174
La 0.412 0.500 0.824
Li 0.806 0.000 0.612

Computed properties:
Its space-group type is Amm2 (38). For the density of states at the Fermi level, the calculation gives 3.1 states/eV/f.u. Its electronic total energy is -102.52 eV/cell.

=====

# 10
First-principles (meta-GGA SCAN) data for Ba2Sr2Pd at its PBEsol-relaxed geometry, as listed in Alexandria.

Cell lengths 4.544, 4.544, 11.322 Å; angles 101.58, 101.58, 90.00 degrees
Fractional coordinates of all 5 atoms:
Sr 0.250 0.750 0.500
Sr 0.750 0.250 0.500
Ba 0.419 0.419 0.838
Ba 0.581 0.581 0.162
Pd 0.000 0.000 0.000

Computed properties:
Its space-group type is I4/mmm (139). For the density of states at the Fermi level, the calculation gives 4.9 states/eV/f.u. Its electronic total energy is -154.99 eV/cell.

=====

# 11
First-principles (meta-GGA SCAN) data for In3SbS2 at its PBEsol-relaxed geometry, as listed in Alexandria.

Cell lengths 4.103, 4.126, 16.918 Å; angles 90.00, 90.00, 90.00 degrees
Fractional coordinates of all 12 atoms:
Sb 0.000 0.016 0.752
Sb 0.500 0.516 0.248
S 0.500 0.512 0.578
S 0.500 0.510 0.924
S 0.000 0.010 0.076
S 0.000 0.012 0.422
In 0.000 0.014 0.252
In 0.500 0.498 0.423
In 0.000 0.998 0.577
In 0.500 0.514 0.748
In 0.000 0.957 0.924
In 0.500 0.457 0.076

Computed properties:
Its space-group type is Pmn2_1 (31). For the density of states at the Fermi level, the calculation gives 1.7 states/eV/f.u. Its electronic total energy is -317.72 eV/cell.

=====

# 12
First-principles (meta-GGA SCAN) data for MgIn2Ag at its PBEsol-relaxed geometry, as listed in Alexandria.

Cell lengths 4.381, 4.381, 5.361 Å; angles 114.12, 114.12, 90.00 degrees
Fractional coordinates of all 4 atoms:
Mg 0.500 0.500 0.000
Ag 0.250 0.750 0.500
In 0.000 0.000 0.000
In 0.750 0.250 0.500

Computed properties:
Its space-group type is I-4m2 (119). For the density of states at the Fermi level, the calculation gives 1.2 states/eV/f.u. Its electronic total energy is -103.42 eV/cell.

=====

no.,M_tot (μB per formula unit)
1,3.0
2,0.0
3,0.0
4,0.0
5,3.5
6,0.0
7,0.0
8,0.0
9,0.0
10,0.1
11,0.0
12,0.0